Entry 1:
Material: RbFeAu2
Method: DFT, PBE
State: optimized geometry

```
RbFeAu2
1.0
5.469 0.000 0.000
0.000 5.469 0.000
2.734 2.734 8.557
Rb Au Fe
2 4 2
Cartesian
0.000 0.000 0.000
5.469 2.734 4.278
2.734 1.367 2.139
6.836 5.468 6.418
4.102 5.470 6.418
2.735 4.102 2.139
2.734 2.734 0.000
2.734 5.469 4.278
```

Space-group type: No. 141
Formation energy from the elements, eV per atom: 0.28
Energy relative to the lowest polymorph listed for this composition, eV per formula unit: 0.00

---

Entry 2:
Material: Nd2SmYHo5
Method: DFT, PBE
State: optimized geometry

```
Nd2SmYHo5
1.0
8.689 0.000 0.000
0.000 8.689 0.000
-4.344 -4.344 7.793
Ho Y Sm Nd
10 2 2 4
Cartesian
2.504 1.840 2.163
-2.504 1.840 5.630
6.185 6.848 2.163
0.000 0.000 0.000
2.504 -1.840 5.630
4.344 4.344 0.000
1.840 2.504 5.630
-1.840 -2.504 5.630
6.848 2.504 2.163
1.840 6.185 2.163
4.344 0.000 3.896
0.000 4.344 3.896
4.344 4.344 3.896
0.000 0.000 3.896
5.363 1.019 0.000
1.019 3.326 0.000
7.670 5.363 0.000
3.326 7.670 0.000
```

Space-group type: No. 140
Formation energy from the elements, eV per atom: 0.27

---

Entry 3:
Material: U3Fe4Si2
Method: DFT, PBE
State: optimized geometry

```
U3Fe4Si2
1.0
-0.154 3.587 -2.156
-0.157 -3.942 -2.480
-7.992 0.044 0.645
U Fe Si
3 4 2
Cartesian
0.000 0.000 0.000
-4.970 -1.568 -2.253
-3.332 1.257 -1.738
-5.176 -0.396 -0.288
-3.127 0.085 -3.703
-7.430 -1.102 -1.302
-0.873 0.791 -2.689
-6.440 1.056 -1.850
-1.863 -1.367 -2.142
```

Space-group type: No. 12
E_form (uncorrected), eV/atom: -0.331

---

Entry 4:
Material: Ac2ThTl
Method: DFT, PBE
State: optimized geometry

```
Ac2ThTl
1.0
-2.098 -3.892 2.682
4.766 -1.530 1.508
-0.342 3.084 4.207
Ac Th Tl
2 1 1
Cartesian
2.383 -0.765 0.754
-0.171 1.542 2.104
1.163 -1.169 4.199
-1.049 -1.946 1.341
```

Space-group type: No. 123
Formation energy from the elements, eV per atom: -0.02
Energy relative to the lowest polymorph listed for this composition, eV per formula unit: 0.23

---

Table of calculated density (g/cm³), in record order: 6.946; 7.634; 11.802; 10.463